1.
{"formula": "LiVOF2", "functional": "meta-GGA SCAN", "state": "single point on PBEsol structure", "lattice_angstrom": [[5.247, 0.000, 0.002], [-0.003, 8.720, -0.005], [-1.418, -0.018, 9.490]], "species": ["F", "F", "F", "F", "F", "F", "F", "F", "F", "F", "F", "F", "F", "F", "F", "F", "Li", "Li", "Li", "Li", "Li", "Li", "Li", "Li", "V", "V", "V", "V", "V", "V", "V", "V", "O", "O", "O", "O", "O", "O", "O", "O"], "frac_coords": [[0.363, 0.913, 0.367], [0.144, 0.910, 0.628], [0.349, 0.410, 0.873], [0.108, 0.253, 0.608], [0.393, 0.089, 0.884], [0.130, 0.414, 0.131], [0.892, 0.910, 0.884], [0.849, 0.589, 0.873], [0.632, 0.588, 0.136], [0.108, 0.591, 0.615], [0.641, 0.091, 0.622], [0.883, 0.746, 0.395], [0.895, 0.246, 0.889], [0.869, 0.091, 0.378], [0.394, 0.751, 0.891], [0.611, 0.750, 0.604], [0.177, 0.589, 0.820], [0.818, 0.915, 0.680], [0.687, 0.916, 0.309], [0.318, 0.090, 0.681], [0.809, 0.409, 0.195], [0.675, 0.408, 0.815], [0.308, 0.591, 0.195], [0.184, 0.092, 0.305], [0.734, 0.254, 0.494], [0.249, 0.761, 0.492], [0.270, 0.399, 0.481], [0.259, 0.903, 0.021], [0.758, 0.096, 0.019], [0.765, 0.737, 0.014], [0.265, 0.262, 0.013], [0.736, 0.568, 0.498], [0.383, 0.586, 0.403], [0.908, 0.414, 0.401], [0.600, 0.412, 0.610], [0.099, 0.752, 0.104], [0.617, 0.914, 0.094], [0.407, 0.252, 0.386], [0.601, 0.248, 0.101], [0.116, 0.086, 0.092]], "m_tot_mub_per_cell": 16.00, "n_ef_per_ev_cell": 4.95}



2.
{"formula": "LiVOF2", "functional": "meta-GGA SCAN", "state": "single point on PBEsol structure", "lattice_angstrom": [[5.218, 0.003, 0.020], [0.695, 6.427, 0.042], [0.801, 0.565, 6.377]], "species": ["F", "F", "F", "F", "F", "F", "F", "F", "V", "V", "V", "V", "O", "O", "O", "O", "Li", "Li", "Li", "Li"], "frac_coords": [[0.609, 0.135, 0.648], [0.881, 0.350, 0.865], [0.644, 0.466, 0.292], [0.861, 0.711, 0.533], [0.356, 0.534, 0.708], [0.391, 0.865, 0.352], [0.139, 0.289, 0.467], [0.119, 0.650, 0.135], [0.257, 0.938, 0.066], [0.755, 0.750, 0.249], [0.743, 0.062, 0.934], [0.245, 0.250, 0.751], [0.392, 0.203, 0.020], [0.608, 0.797, 0.980], [0.897, 0.019, 0.193], [0.103, 0.981, 0.807], [0.823, 0.223, 0.400], [0.326, 0.406, 0.227], [0.177, 0.777, 0.600], [0.674, 0.594, 0.773]], "m_tot_mub_per_cell": 8.00, "n_ef_per_ev_cell": 0.53}



What should be chosen as the most stable of them? Choose 2.



1.
{"formula": "Li2CuNi", "functional": "meta-GGA SCAN", "state": "single point on PBEsol structure", "lattice_angstrom": [[2.471, 0.000, 0.025], [0.000, 4.183, 0.000], [-0.412, 0.000, 4.430]], "species": ["Ni", "Cu", "Li", "Li"], "frac_coords": [[0.500, 0.500, 0.000], [0.000, 0.500, 0.500], [0.747, 0.000, 0.756], [0.253, 0.000, 0.244]], "m_tot_mub_per_cell": 0.00, "n_ef_per_ev_cell": 1.84}



2.
{"formula": "Li2CuNi", "functional": "meta-GGA SCAN", "state": "single point on PBEsol structure", "lattice_angstrom": [[-1.198, 1.621, 1.427], [0.874, -1.864, 1.364], [7.319, 4.329, 1.226]], "species": ["Li", "Li", "Cu", "Ni"], "frac_coords": [[0.500, 0.500, 0.720], [0.000, 0.000, 0.024], [0.500, 0.500, 0.264], [0.000, 0.000, 0.492]], "m_tot_mub_per_cell": 0.02, "n_ef_per_ev_cell": 1.76}



What should be chosen as the most stable of them? Choose 1.



1.
{"formula": "Li2TePb", "functional": "meta-GGA SCAN", "state": "single point on PBEsol structure", "lattice_angstrom": [[-0.953, -0.101, 4.477], [4.478, -0.080, 0.951], [-1.708, 4.457, -2.604]], "species": ["Li", "Li", "Te", "Pb"], "frac_coords": [[0.750, 0.250, 0.500], [0.250, 0.750, 0.500], [0.000, 0.000, 0.000], [0.500, 0.500, 0.000]], "m_tot_mub_per_cell": 0.01, "n_ef_per_ev_cell": 1.74}



2.
{"formula": "Li2TePb", "functional": "meta-GGA SCAN", "state": "single point on PBEsol structure", "lattice_angstrom": [[-0.030, 3.920, -1.259], [1.089, -1.206, -3.783], [-5.659, -1.823, 1.194]], "species": ["Pb", "Li", "Li", "Te"], "frac_coords": [[0.500, 0.500, 0.000], [0.750, 0.250, 0.500], [0.000, 0.000, 0.000], [0.250, 0.750, 0.500]], "m_tot_mub_per_cell": 0.00, "n_ef_per_ev_cell": 1.43}



What should be chosen as the most stable of them? Choose 2.